Record 1
A plane-wave DFT calculation with PBE was carried out for an optimized crystal structure of KHg3Bi.

Raw total energy = -0.02760 Ha/atom
Energy relative to the lowest polymorph listed for this composition = 0.5985 eV per atom
E_form = 0.43 eV/atom

a = 6.242 Å, b = 6.242 Å, c = 6.242 Å
α = 90.00°, β = 90.00°, γ = 90.00°
Positions (direct):
1 K 0.000 0.000 0.000
2 Hg 0.000 0.000 0.500
3 Hg 0.000 0.500 0.000
4 Hg 0.500 0.000 0.000
5 Bi 0.500 0.500 0.500

***

Record 2
A plane-wave DFT calculation with PBE was carried out for an optimized crystal structure of K4HgBi.

Raw total energy = -0.06300 Ha/atom
E_form = -0.29 eV/atom

a = 9.938 Å, b = 9.938 Å, c = 6.361 Å
α = 100.47°, β = 100.47°, γ = 116.01°
Positions (direct):
1 K 0.054 0.683 0.919
2 K 0.256 0.391 0.666
3 K 0.317 0.946 0.581
4 K 0.391 0.256 0.166
5 K 0.609 0.744 0.834
6 K 0.683 0.054 0.419
7 K 0.744 0.609 0.334
8 K 0.946 0.317 0.081
9 Hg 0.001 0.999 0.250
10 Hg 0.999 0.001 0.750
11 Bi 0.364 0.636 0.250
12 Bi 0.636 0.364 0.750

***

Record 3
A plane-wave DFT calculation with PBE was carried out for an optimized crystal structure of KHg2Bi2.

Raw total energy = -0.07448 Ha/atom
Energy relative to the lowest polymorph listed for this composition = 0.0422 eV per atom
E_form = -0.13 eV/atom

a = 6.853 Å, b = 6.853 Å, c = 6.853 Å
α = 130.97°, β = 130.97°, γ = 71.86°
Positions (direct):
1 K 0.000 0.000 0.000
2 Hg 0.250 0.750 0.500
3 Hg 0.750 0.250 0.500
4 Bi 0.363 0.363 0.000
5 Bi 0.637 0.637 0.000

***

Record 4
A plane-wave DFT calculation with PBE was carried out for an optimized crystal structure of K3Hg8Bi3.

Raw total energy = -0.05255 Ha/atom
E_form = -0.19 eV/atom

a = 9.750 Å, b = 9.750 Å, c = 10.604 Å
α = 121.63°, β = 121.63°, γ = 31.80°
Positions (direct):
1 K 0.000 0.000 0.000
2 K 0.297 0.297 0.293
3 K 0.703 0.703 0.707
4 Hg 0.145 0.145 0.864
5 Hg 0.157 0.157 0.444
6 Hg 0.348 0.348 0.996
7 Hg 0.496 0.496 0.323
8 Hg 0.504 0.504 0.677
9 Hg 0.652 0.652 0.004
10 Hg 0.843 0.843 0.556
11 Hg 0.855 0.855 0.136
12 Bi 0.000 0.000 0.500
13 Bi 0.351 0.351 0.718
14 Bi 0.649 0.649 0.282

***

Record 5
A plane-wave DFT calculation with PBE was carried out for an optimized crystal structure of K2Hg6Bi.

Raw total energy = -0.04035 Ha/atom
E_form = -0.22 eV/atom

a = 7.003 Å, b = 7.003 Å, c = 6.609 Å
α = 90.00°, β = 90.00°, γ = 120.00°
Positions (direct):
1 K 0.333 0.667 0.159
2 K 0.667 0.333 0.841
3 Hg 0.183 0.367 0.657
4 Hg 0.183 0.817 0.657
5 Hg 0.367 0.183 0.343
6 Hg 0.633 0.817 0.657
7 Hg 0.817 0.183 0.343
8 Hg 0.817 0.633 0.343
9 Bi 0.000 0.000 0.000

***

Record 6
A plane-wave DFT calculation with PBE was carried out for an optimized crystal structure of K3HgBi.

Raw total energy = -0.06212 Ha/atom
Energy relative to the lowest polymorph listed for this composition = 0.1324 eV per atom
E_form = -0.20 eV/atom

a = 6.875 Å, b = 6.875 Å, c = 6.875 Å
α = 90.00°, β = 90.00°, γ = 90.00°
Positions (direct):
1 K 0.000 0.000 0.500
2 K 0.000 0.500 0.000
3 K 0.500 0.000 0.000
4 Hg 0.500 0.500 0.500
5 Bi 0.000 0.000 0.000